Record 1
First-principles (PBE) data for an optimized crystal structure of Sc2TlOs, as listed in Alexandria via LeMat-Bulk. Values from VASP.

The structure in Quantum ESPRESSO input format:
```
&SYSTEM
  ibrav = 0, nat = 4, ntyp = 3
/
ATOMIC_SPECIES
Sc 44.96 Sc.upf
Tl 204.38 Tl.upf
Os 190.23 Os.upf
CELL_PARAMETERS angstrom
1.6018 0.9248 9.5467
-1.6018 0.9248 9.5467
0.0000 -1.8496 9.5467
ATOMIC_POSITIONS crystal
Sc 0.0000 0.0000 0.0000
Sc 0.2351 0.2351 0.2351
Tl 0.4804 0.4804 0.4804
Os 0.7343 0.7343 0.7343
```

Its density of states at the Fermi level is 1.14 states/eV/atom. The formation energy is 1.076 eV per formula unit. As for the symmetry: R3m, No. 160.



Record 2
First-principles (PBE) data for an optimized crystal structure of Sc2TlOs, as listed in Alexandria via LeMat-Bulk. Values from VASP.

The structure in Quantum ESPRESSO input format:
```
&SYSTEM
  ibrav = 0, nat = 4, ntyp = 3
/
ATOMIC_SPECIES
Sc 44.96 Sc.upf
Tl 204.38 Tl.upf
Os 190.23 Os.upf
CELL_PARAMETERS angstrom
3.3079 0.0000 0.0000
0.0000 4.1497 0.0000
0.0000 0.0000 6.0726
ATOMIC_POSITIONS crystal
Sc 0.0000 0.0000 0.0000
Sc 0.5000 0.5000 0.2892
Tl 0.0000 0.0000 0.5361
Os 0.5000 0.5000 0.8617
```

Its density of states at the Fermi level is 0.62 states/eV/atom. The formation energy is 0.079 eV per formula unit. As for the symmetry: Pmm2, No. 25.



Record 3
First-principles (PBE) data for an optimized crystal structure of Sc2TlOs2, as listed in Alexandria via LeMat-Bulk. Values from VASP.

The structure in Quantum ESPRESSO input format:
```
&SYSTEM
  ibrav = 0, nat = 10, ntyp = 3
/
ATOMIC_SPECIES
Sc 44.96 Sc.upf
Tl 204.38 Tl.upf
Os 190.23 Os.upf
CELL_PARAMETERS angstrom
7.5088 0.0000 0.0000
0.0000 7.5088 0.0000
0.0000 0.0000 3.3504
ATOMIC_POSITIONS crystal
Sc 0.1547 0.3453 0.0000
Sc 0.3453 0.8453 0.0000
Sc 0.6547 0.1547 0.0000
Sc 0.8453 0.6547 0.0000
Tl 0.0000 0.0000 0.5000
Tl 0.5000 0.5000 0.5000
Os 0.1408 0.6408 0.5000
Os 0.3592 0.1408 0.5000
Os 0.6408 0.8592 0.5000
Os 0.8592 0.3592 0.5000
```

Its density of states at the Fermi level is 1.36 states/eV/atom. The formation energy is 0.136 eV per formula unit. As for the symmetry: P4/mbm, No. 127.



The calculation returns the following volume values, one per record and in order: 21.2, 20.8, 18.9 A^3/atom.
The calculation returns the following M_tot values, one per record and in order: 0.7, 0.0, 0.0 μB/f.u..
The calculation returns the following E values, one per record and in order: -6.296, -6.545, -7.471 eV per atom.